# Al2InCl2

A crystal of Al2InCl2 relaxed with PBEsol (SCAN, the Alexandria database).

Results
Formation energy (no corrections) = -0.3192 eV per atom
Crystal system = tetragonal
Theoretical density = 3.0 Mg/m³
E = -13.288 eV per atom
Total magnetic moment = 0.00 μB/cell
Space group = P4/mbm

Cell lengths 4.411, 7.728, 7.728 Å; angles 90.00, 90.00, 90.00 degrees
Sites, in units of the cell vectors:
Cl 0.500 0.157 0.657
Cl 0.500 0.657 0.843
Cl 0.500 0.843 0.343
Cl 0.500 0.343 0.157
Al 0.000 0.260 0.760
Al 0.000 0.760 0.740
Al 0.000 0.740 0.240
Al 0.000 0.240 0.260
In 0.000 0.000 0.000
In 0.000 0.500 0.500